Crystalline Pr5ThN6 at its relaxed geometry, computed with PBE.

Cell lengths 6.3852, 6.3855, 6.3833 Å; angles 59.99, 80.40, 70.52 degrees
Fractional positions:
Pr 0.5000 0.1671 0.6658
Pr 0.0000 0.3335 0.3329
Pr 0.5000 0.5000 0.0000
Pr 0.0000 0.6665 0.6671
Pr 0.5000 0.8329 0.3342
Th 0.0000 0.0000 0.0000
N 0.7563 0.0812 0.3217
N 0.2437 0.5971 0.3217
N 0.2437 0.2403 0.0000
N 0.7563 0.7597 0.0000
N 0.7563 0.4029 0.6783
N 0.2437 0.9188 0.6783

Values from the calculation:
Magnetic moment = 0.0 μB per cell
E_form (uncorrected) = -134 kJ/mol of atoms
Calculated density = 7.98 Mg/m³
Symmetry = No. 12
E = -97.9 eV/cell